This record from the Alexandria database describes a relaxed structure of Li3Rh. The functional is GGA-PBEsol.

## Properties
Symmetry: P2/m (10)

a b c (Å): 2.5246 4.3314 5.0889
angles (deg): 90.00 97.95 90.00
Element x y z (fractional)
Li  0.8234  0.0000  0.7768
Li  0.0000  0.5000  0.5000
Li  0.1766  0.0000  0.2232
Rh  0.5000  0.5000  0.0000

***

This record from the Alexandria database describes a relaxed structure of PPt2Cl. The functional is GGA-PBEsol.

## Properties
Energy relative to the elements, uncorrected (eV per atom): 0.636
Symmetry: F-43m (216)
Excess energy over the best structure of this formula in the dataset (kJ/mol of formula units): 278

a b c (Å): 4.4524 4.4524 4.4524
angles (deg): 60.00 60.00 60.00
Element x y z (fractional)
Pt  0.0000  0.0000  0.0000
Cl  0.5000  0.5000  0.5000
Pt  0.2500  0.2500  0.2500
P  0.7500  0.7500  0.7500

***

This record from the Alexandria database describes a relaxed structure of Hg3RhI. The functional is GGA-PBEsol.

## Properties
Energy relative to the elements, uncorrected (eV per atom): 0.241
Symmetry: Pm-3m (221)

a b c (Å): 5.1706 5.1706 5.1706
angles (deg): 90.00 90.00 90.00
Element x y z (fractional)
Hg  0.5000  0.0000  0.0000
Hg  0.0000  0.0000  0.5000
I  0.5000  0.5000  0.5000
Hg  0.0000  0.5000  0.0000
Rh  0.0000  0.0000  0.0000

***

This record from the Alexandria database describes a relaxed structure of Ba2Nb15O32. The functional is GGA-PBEsol.

## Properties
Energy relative to the elements, uncorrected (eV per atom): -2.550
Symmetry: R-3 (148)

a b c (Å): 7.8007 7.8007 12.7567
angles (deg): 72.20 72.20 60.00
Element x y z (fractional)
Nb  0.6871  0.2743  0.5991
O  0.1892  0.7672  0.0954
Nb  0.5605  0.3129  0.4009
O  0.1968  0.6322  0.7050
O  0.7695  0.0729  0.5017
Nb  0.1392  0.1392  0.5825
Nb  0.7257  0.5605  0.4009
Nb  0.1906  0.5312  0.2001
O  0.3385  0.9299  0.6888
O  0.2305  0.9271  0.4983
Nb  0.5312  0.0781  0.2001
O  0.8108  0.2328  0.9046
O  0.6559  0.7695  0.5017
O  0.6470  0.9417  0.8829
Nb  0.0781  0.1906  0.2001
O  0.7672  0.9482  0.0954
Nb  0.3129  0.7257  0.4009
Ba  0.6386  0.6386  0.0843
O  0.8032  0.3678  0.2950
O  0.9271  0.3441  0.4983
O  0.6322  0.4660  0.7050
O  0.2382  0.2382  0.2854
O  0.9482  0.1892  0.0954
Nb  0.8608  0.8608  0.4175
O  0.9417  0.5284  0.8829
Nb  0.4395  0.6871  0.5991
O  0.4716  0.3530  0.1171
O  0.7618  0.7618  0.7146
O  0.4660  0.1968  0.7050
Nb  0.9219  0.8094  0.7999
O  0.3530  0.0583  0.1171
O  0.0518  0.8108  0.9046
O  0.2328  0.0518  0.9046
O  0.3678  0.5340  0.2950
Nb  0.0000  0.0000  0.0000
Nb  0.8094  0.4688  0.7999
O  0.3441  0.2305  0.4983
Nb  0.2743  0.4395  0.5991
O  0.9572  0.6615  0.3112
O  0.5284  0.6470  0.8829
O  0.5340  0.8032  0.2950
O  0.0428  0.3385  0.6888
Nb  0.4688  0.9219  0.7999
O  0.0729  0.6559  0.5017
Ba  0.3614  0.3614  0.9157
O  0.9299  0.0428  0.6888
O  0.0701  0.9572  0.3112
O  0.0583  0.4716  0.1171
O  0.6615  0.0701  0.3112

***

This record from the Alexandria database describes a relaxed structure of KGePb2C. The functional is GGA-PBEsol.

## Properties
Symmetry: P4/mmm (123)

a b c (Å): 5.3578 5.8580 5.8580
angles (deg): 90.00 90.00 90.00
Site moments in Bohr magnetons follow the coordinates.
Element x y z (fractional)
C  0.5000  0.5000  0.5000  0.82
Ge  0.5000  0.0000  0.0000  -0.12
K  0.0000  0.0000  0.0000  -0.04
Pb  0.0000  0.5000  0.0000  -0.09
Pb  0.0000  0.0000  0.5000  -0.09

***

This record from the Alexandria database describes a relaxed structure of LaW. The functional is GGA-PBEsol.

## Properties
Symmetry: P2_1/m (11)
Excess energy over the best structure of this formula in the dataset (kJ/mol of formula units): 0

a b c (Å): 3.1077 4.2596 6.8066
angles (deg): 90.00 100.98 90.00
Element x y z (fractional)
W  0.1810  0.2500  0.5784
W  0.8190  0.7500  0.4216
La  0.6750  0.7500  0.8530
La  0.3250  0.2500  0.1470

***

This record from the Alexandria database describes a relaxed structure of AgSbPt. The functional is GGA-PBEsol.

## Properties
Energy relative to the elements, uncorrected (eV per atom): -0.167
Symmetry: F-43m (216)

a b c (Å): 4.4261 4.4261 4.4261
angles (deg): 60.00 60.00 60.00
Element x y z (fractional)
Sb  0.0000  0.0000  0.0000
Ag  0.5000  0.5000  0.5000
Pt  0.2500  0.2500  0.2500

***

This record from the Alexandria database describes a relaxed structure of Cd2GaAgSe4. The functional is GGA-PBEsol.

## Properties
Energy relative to the elements, uncorrected (eV per atom): -0.421
Symmetry: Pm (6)
Excess energy over the best structure of this formula in the dataset (kJ/mol of formula units): 19

a b c (Å): 4.1610 6.9066 7.3717
angles (deg): 90.42 90.00 90.00
Element x y z (fractional)
Ga  0.0000  0.5204  0.3395
Se  0.5000  0.3958  0.1768
Cd  0.5000  0.5376  0.8200
Se  0.0000  0.3887  0.6414
Cd  0.5000  0.9967  0.1697
Se  0.5000  0.9074  0.8354
Ag  0.0000  0.0171  0.6693
Se  0.0000  0.8676  0.3479

***

no.,E (eV/atom)
1,-3.5537
2,-4.7954
3,-2.0804
4,-9.3788
5,-2.1658
6,-9.0205
7,-5.1112
8,-3.4769